1.
K2Hg2RhCl4: relaxed, GGA-PBE.

```
K2Hg2RhCl4
1.0
-3.839 3.839 4.160
3.839 -3.839 4.160
3.839 3.839 -4.160
K Hg Rh Cl
2 2 1 4
Direct
0.250 0.750 0.500
0.750 0.250 0.500
0.172 0.172 0.000
0.828 0.828 0.000
0.500 0.500 0.000
0.281 0.281 0.562
0.281 0.719 0.000
0.719 0.281 0.000
0.719 0.719 0.438
```

Values from the calculation:
total magnetization: 0.00 μB/cell
E_form (uncorrected): -1.022 eV per atom
DOS at the Fermi energy: 0.72 states/eV/cell
VASP energy: -26.7 eV per cell

---

2.
KHgRu2Cl: relaxed, GGA-PBE.

```
KHgRu2Cl
1.0
5.093 0.000 0.000
0.000 5.093 0.000
0.000 0.000 5.377
K Hg Ru Cl
1 1 2 1
Direct
0.000 0.000 0.000
0.500 0.500 0.500
0.000 0.500 0.000
0.500 0.000 0.000
0.000 0.000 0.500
```

Values from the calculation:
total magnetization: 4.70 μB/cell
E_form (uncorrected): 1.897 eV per atom
DOS at the Fermi energy: 4.74 states/eV/cell
VASP energy: -12.3 eV per cell

---

3.
KHgRuCl6: relaxed, GGA-PBE.

```
KHgRuCl6
1.0
6.798 0.000 0.000
-3.399 5.887 0.000
0.000 0.000 6.688
K Hg Ru Cl
1 1 1 6
Direct
0.000 0.000 0.000
0.667 0.333 0.500
0.333 0.667 0.500
0.043 0.387 0.703
0.043 0.655 0.297
0.345 0.387 0.297
0.345 0.957 0.703
0.613 0.655 0.703
0.613 0.957 0.297
```

Values from the calculation:
total magnetization: 1.01 μB/cell
E_form (uncorrected): -0.867 eV per atom
DOS at the Fermi energy: 6.19 states/eV/cell
VASP energy: -29.6 eV per cell